# Pr2TmPu, optimized geometry, DFT PBE-GGA
data_Pr2TmPu
_chemical_formula_sum 'Pr2 Tm1 Pu1'
_cell_length_a 5.0833
_cell_length_b 5.0833
_cell_length_c 4.9960
_cell_angle_alpha 90.00
_cell_angle_beta 90.00
_cell_angle_gamma 90.00
_space_group_name_H-M_alt 'P 4/m m m'
_space_group_IT_number 123
_space_group_name_Hall '-P 4 2'
loop_
_atom_site_label
_atom_site_fract_x
_atom_site_fract_y
_atom_site_fract_z
Pr1 0.0000 0.5000 0.0000
Tm1 0.0000 0.0000 0.5000
Pu1 0.5000 0.5000 0.5000
# - ΔE to the lowest computed polymorph (meV per atom) = 32.2
# - Fermi-level density of states (states/eV per cell) = 15.60
# - magnetization (μB per atom) = 1.55